VASP calculation (GGA-PBEsol) on a relaxed structure of CrCu2Ir.

Structure (POSCAR):
```
CrCu2Ir
1.0
2.527 -0.001 0.000
-1.114 2.268 0.000
0.000 0.000 8.684
Ir Cu Cr
1 2 1
Direct
0.500 0.500 0.500 Ir
0.000 0.000 0.242 Cu
0.000 0.000 0.758 Cu
0.500 0.500 0.000 Cr
```

Values from the calculation:
Space-group type ... No. 65
Total DFT energy (no corrections) ... -27.4 eV/f.u.

---

VASP calculation (GGA-PBEsol) on a relaxed structure of Zr6FeSn2H10.

Structure (POSCAR):
```
Zr6FeSn2H10
1.0
-1.724 5.461 4.411
-6.288 1.804 -4.691
-0.879 -5.194 6.087
H Zr Sn Fe
20 12 4 2
Direct
0.750 0.110 0.707 H
0.000 0.000 0.277 H
0.250 0.118 0.881 H
0.500 0.000 0.277 H
0.250 0.403 0.293 H
0.250 0.119 0.237 H
0.250 0.707 0.110 H
0.750 0.597 0.890 H
0.000 0.723 0.723 H
0.250 0.890 0.597 H
0.250 0.763 0.882 H
0.750 0.881 0.118 H
0.500 0.000 0.000 H
0.500 0.723 0.723 H
0.000 0.277 0.000 H
0.750 0.237 0.119 H
0.750 0.882 0.763 H
0.750 0.293 0.403 H
0.000 0.000 0.000 H
0.500 0.277 0.000 H
0.000 0.254 0.254 Zr
0.000 0.746 0.000 Zr
0.250 0.953 0.373 Zr
0.000 0.000 0.746 Zr
0.500 0.000 0.746 Zr
0.250 0.420 0.047 Zr
0.500 0.254 0.254 Zr
0.250 0.627 0.580 Zr
0.750 0.047 0.420 Zr
0.750 0.580 0.627 Zr
0.750 0.373 0.953 Zr
0.500 0.746 0.000 Zr
0.458 0.333 0.667 Sn
0.958 0.667 0.333 Sn
0.542 0.667 0.333 Sn
0.042 0.333 0.667 Sn
0.750 0.000 0.000 Fe
0.250 0.000 0.000 Fe
```

Values from the calculation:
Space-group type ... No. 190
Total DFT energy (no corrections) ... -115.0 eV/f.u.